Entry from Alexandria: crystalline Dy6Er at its relaxed geometry (PBE).

abc: 6.445 6.445 10.950
angles: 90.00 90.00 90.00
Positions (direct):
Dy  0.082  0.582  0.138
Dy  0.082  0.918  0.862
Dy  0.250  0.250  0.361
Dy  0.250  0.250  0.639
Dy  0.418  0.582  0.862
Dy  0.418  0.918  0.138
Dy  0.582  0.082  0.862
Dy  0.582  0.418  0.138
Dy  0.750  0.750  0.361
Dy  0.750  0.750  0.639
Dy  0.918  0.082  0.138
Dy  0.918  0.418  0.862
Er  0.250  0.750  0.500
Er  0.750  0.250  0.500

Summary:
Its total energy is -4.328 eV/atom. Its symmetry is P4/nbm (125). As for the magnetic moment: 0.00 μB/f.u. As for the crystal system: tetragonal.